Computed, not measured: Sm6CdGe2S14 after structural relaxation at the PBE level of DFT.

POSCAR file:
```
Sm6CdGe2S14
1.0
10.148 0.000 0.000
-5.074 8.788 0.000
0.000 0.000 5.783
Sm Cd Ge S
6 1 2 14
direct
0.024 0.563 0.000
0.309 0.103 0.504
0.437 0.461 0.000
0.539 0.976 0.000
0.794 0.691 0.504
0.897 0.206 0.504
0.667 0.333 0.268
0.000 0.000 0.923
0.333 0.667 0.415
0.000 0.000 0.302
0.082 0.852 0.762
0.148 0.230 0.762
0.185 0.436 0.257
0.251 0.815 0.257
0.333 0.667 0.796
0.408 0.169 0.030
0.501 0.426 0.520
0.564 0.749 0.257
0.574 0.075 0.520
0.762 0.592 0.030
0.770 0.918 0.762
0.831 0.238 0.030
0.925 0.499 0.520
```

formation energy from raw total energies	-1.50	eV per atom


Computed, not measured: Na3Sn3GeSe8 after structural relaxation at the PBE level of DFT.

POSCAR file:
```
Na3Sn3GeSe8
1.0
3.969 2.291 7.262
-3.969 2.291 7.262
0.000 -4.583 7.262
Na Sn Ge Se
3 3 1 8
direct
0.000 0.500 0.500
0.500 0.000 0.500
0.500 0.500 0.000
0.000 0.000 0.500
0.000 0.500 0.000
0.500 0.000 0.000
0.500 0.500 0.500
0.242 0.242 0.242
0.247 0.735 0.735
0.265 0.265 0.753
0.265 0.753 0.265
0.735 0.247 0.735
0.735 0.735 0.247
0.753 0.265 0.265
0.758 0.758 0.758
```

formation energy from raw total energies	-0.57	eV per atom